1.
The following is a DFT calculation (PBE) of a relaxed Bi2Te2Pd5 crystal.

The value obtained for the formation energy without anion corrections is -0.2551 eV/atom. The value obtained for the theoretical density is 9.36 g/cm3.

Cell: 4.177 7.814 8.079 Å, 121.41 90.00 105.50°
Atoms (fractional coordinates):
Bi 0.365 0.729 0.716
Bi 0.635 0.271 0.284
Te 0.155 0.310 0.782
Te 0.845 0.690 0.218
Pd 0.408 0.817 0.103
Pd 0.592 0.183 0.897
Pd 0.056 0.111 0.395
Pd 0.944 0.889 0.605
Pd 0.000 0.000 0.000


2.
The following is a DFT calculation (PBE) of a relaxed Bi3TePd crystal.

The value obtained for the formation energy without anion corrections is -0.1187 eV/atom. The value obtained for the theoretical density is 9.38 g/cm3.

Cell: 6.663 6.663 8.587 Å, 99.21 124.37 93.80°
Atoms (fractional coordinates):
Bi 0.809 0.992 0.261
Bi 0.270 0.453 0.261
Bi 0.730 0.547 0.739
Bi 0.719 0.497 0.216
Bi 0.191 0.008 0.739
Bi 0.281 0.503 0.784
Te 0.729 0.059 0.789
Te 0.271 0.941 0.211
Pd 0.680 0.802 0.482
Pd 0.320 0.198 0.518


3.
The following is a DFT calculation (PBE) of a relaxed Bi2TePd crystal.

The value obtained for the formation energy without anion corrections is -0.1563 eV/atom. The value obtained for the theoretical density is 9.58 g/cm3.

Cell: 4.292 4.292 7.502 Å, 73.38 73.38 60.00°
Atoms (fractional coordinates):
Te 0.500 0.500 0.500
Bi 0.267 0.267 0.199
Bi 0.733 0.733 0.801
Pd 0.000 0.000 0.000


4.
The following is a DFT calculation (PBE) of a relaxed Bi4TePd8 crystal.

The value obtained for the formation energy without anion corrections is -0.2294 eV/atom. The value obtained for the theoretical density is 11.36 g/cm3.

Cell: 4.251 4.029 15.493 Å, 90.00 90.00 90.00°
Atoms (fractional coordinates):
Bi 0.000 0.000 0.063
Bi 0.000 0.500 0.634
Bi 0.500 0.500 0.453
Bi 0.500 0.000 0.884
Te 0.000 0.000 0.308
Pd 0.000 0.000 0.481
Pd 0.000 0.500 0.909
Pd 0.500 0.500 0.051
Pd 0.500 0.000 0.608
Pd 0.000 0.500 0.196
Pd 0.000 0.000 0.764
Pd 0.500 0.000 0.197
Pd 0.500 0.500 0.756


> Look up the formation energy without anion corrections of the first one.

-0.2551 eV/atom